Density functional theory data (meta-GGA SCAN) for a crystal of LaTl2Sb relaxed with PBEsol.

```
LaTl2Sb
1.0
-2.366 2.368 4.924
2.366 -2.368 4.924
2.366 2.368 -4.924
La Tl Sb
1 2 1
Direct
0.000 0.000 0.000
0.499 0.499 0.000
0.750 0.250 0.500
0.250 0.750 0.500
```

Computed properties:
Relative energy among the computed polymorphs   0.00 eV per formula unit
V   27.59 Å³/atom
Uncorrected energy   -56.85 eV per atom
Size of the total moment   0.000 μB/cell



Density functional theory data (meta-GGA SCAN) for a crystal of La2SbW relaxed with PBEsol.

```
La2SbW
1.0
3.145 -4.328 0.000
3.145 4.328 0.000
0.000 0.000 3.652
La Sb W
2 1 1
Direct
0.000 0.500 0.000
0.500 0.000 0.000
0.000 0.000 0.500
0.500 0.500 0.500
```

Computed properties:
V   24.85 Å³/atom
Uncorrected energy   -48.18 eV per atom
Size of the total moment   0.997 μB/cell



Density functional theory data (meta-GGA SCAN) for a crystal of La3SbW relaxed with PBEsol.

```
La3SbW
1.0
5.856 0.000 0.000
0.000 5.856 0.000
0.000 0.000 5.856
La Sb W
3 1 1
Direct
0.000 0.000 0.500
0.000 0.500 0.000
0.500 0.000 0.000
0.000 0.000 0.000
0.500 0.500 0.500
```

Computed properties:
V   40.16 Å³/atom
Uncorrected energy   -46.30 eV per atom
Size of the total moment   5.416 μB/cell



Density functional theory data (meta-GGA SCAN) for a crystal of LaYSb3 relaxed with PBEsol.

```
LaYSb3
1.0
5.583 0.000 0.000
0.000 5.583 0.000
0.000 0.000 5.583
La Y Sb
1 1 3
Direct
0.000 0.000 0.000
0.500 0.500 0.500
0.000 0.500 0.500
0.500 0.000 0.500
0.500 0.500 0.000
```

Computed properties:
V   34.80 Å³/atom
Uncorrected energy   -36.82 eV per atom
Size of the total moment   0.000 μB/cell



Density functional theory data (meta-GGA SCAN) for a crystal of La2YSb relaxed with PBEsol.

```
La2YSb
1.0
2.068 1.194 9.333
-2.068 1.194 9.333
0.000 -2.388 9.333
La Y Sb
2 1 1
Direct
0.239 0.239 0.239
0.761 0.761 0.761
0.000 0.000 0.000
0.500 0.500 0.500
```

Computed properties:
V   34.57 Å³/atom
Uncorrected energy   -38.27 eV per atom
Size of the total moment   0.000 μB/cell



Density functional theory data (meta-GGA SCAN) for a crystal of La2YSb2 relaxed with PBEsol.

```
La2YSb2
1.0
8.322 0.000 0.000
0.000 8.322 0.000
0.000 0.000 4.367
La Y Sb
4 2 4
Direct
0.153 0.347 0.000
0.347 0.847 0.000
0.653 0.153 0.000
0.847 0.653 0.000
0.000 0.000 0.500
0.500 0.500 0.500
0.151 0.651 0.500
0.349 0.151 0.500
0.651 0.849 0.500
0.849 0.349 0.500
```

Computed properties:
V   30.25 Å³/atom
Uncorrected energy   -38.88 eV per atom
Size of the total moment   1.647 μB/cell



Density functional theory data (meta-GGA SCAN) for a crystal of LaY3Sb relaxed with PBEsol.

```
LaY3Sb
1.0
5.688 0.000 0.000
0.000 5.688 0.000
0.000 0.000 5.688
La Y Sb
1 3 1
Direct
0.000 0.000 0.000
0.000 0.500 0.500
0.500 0.000 0.500
0.500 0.500 0.000
0.500 0.500 0.500
```

Computed properties:
Relative energy among the computed polymorphs   0.00 eV per formula unit
V   36.81 Å³/atom
Uncorrected energy   -32.90 eV per atom
Size of the total moment   3.469 μB/cell



Density functional theory data (meta-GGA SCAN) for a crystal of La2YSb relaxed with PBEsol.

```
La2YSb
1.0
2.005 1.158 9.764
-2.005 1.158 9.764
0.000 -2.315 9.764
La Y Sb
2 1 1
Direct
0.000 0.000 0.000
0.234 0.234 0.234
0.468 0.468 0.468
0.738 0.738 0.738
```

Computed properties:
V   33.99 Å³/atom
Uncorrected energy   -38.32 eV per atom
Size of the total moment   0.011 μB/cell



Density functional theory data (meta-GGA SCAN) for a crystal of LaY3Sb relaxed with PBEsol.

```
LaY3Sb
1.0
5.447 0.000 0.000
0.000 5.447 0.000
0.000 0.000 5.447
La Y Sb
1 3 1
Direct
0.000 0.000 0.000
0.000 0.000 0.500
0.000 0.500 0.000
0.500 0.000 0.000
0.500 0.500 0.500
```

Computed properties:
Relative energy among the computed polymorphs   4.08 eV per formula unit
V   32.32 Å³/atom
Uncorrected energy   -32.09 eV per atom
Size of the total moment   0.001 μB/cell



Density functional theory data (meta-GGA SCAN) for a crystal of La2YSb relaxed with PBEsol.

```
La2YSb
1.0
3.393 -4.834 0.000
3.393 4.834 0.000
0.000 0.000 3.532
La Y Sb
2 1 1
Direct
0.000 0.500 0.000
0.500 0.000 0.000
0.000 0.000 0.500
0.500 0.500 0.500
```

Computed properties:
V   28.96 Å³/atom
Uncorrected energy   -38.35 eV per atom
Size of the total moment   0.000 μB/cell



Density functional theory data (meta-GGA SCAN) for a crystal of La2ZnSb relaxed with PBEsol.

```
La2ZnSb
1.0
4.306 0.000 0.000
0.000 2.266 5.841
0.000 -2.266 5.841
La Zn Sb
2 1 1
Direct
0.000 0.000 0.000
0.500 0.287 0.287
0.000 0.728 0.728
0.500 0.572 0.572
```

Computed properties:
Relative energy among the computed polymorphs   0.00 eV per formula unit
V   28.49 Å³/atom
Uncorrected energy   -35.09 eV per atom
Size of the total moment   0.914 μB/cell



Density functional theory data (meta-GGA SCAN) for a crystal of LaZn2Sb relaxed with PBEsol.

```
LaZn2Sb
1.0
2.214 1.278 5.482
-2.214 1.278 5.482
0.000 -2.556 5.482
La Zn Sb
1 2 1
Direct
0.000 0.000 0.000
0.225 0.225 0.225
0.548 0.548 0.548
0.794 0.794 0.794
```

Computed properties:
V   23.26 Å³/atom
Uncorrected energy   -27.43 eV per atom
Size of the total moment   0.000 μB/cell



Number 1: formation energy from raw total energies -0.58 eV/atom. Number 2: formation energy from raw total energies 0.11 eV/atom. Number 3: formation energy from raw total energies 0.95 eV/atom. Number 4: formation energy from raw total energies -0.27 eV/atom. Number 5: formation energy from raw total energies -0.44 eV/atom. Number 6: formation energy from raw total energies -1.17 eV/atom. Number 7: formation energy from raw total energies -0.12 eV/atom. Number 8: formation energy from raw total energies -0.49 eV/atom. Number 9: formation energy from raw total energies 0.69 eV/atom. Number 10: formation energy from raw total energies -0.52 eV/atom. Number 11: formation energy from raw total energies -0.84 eV/atom. Number 12: formation energy from raw total energies -0.58 eV/atom.